# 1
VASP calculation (GGA-PBEsol) on MnTcSb2 after structural relaxation.

a b c (Å): 3.1779 3.1779 6.3447
angles (deg): 90.00 90.00 90.00
Positions (direct):
Sb1 0.0000 0.0000 0.2438
Sb2 0.0000 0.0000 0.7562
Tc1 0.5000 0.5000 0.5000
Mn1 0.5000 0.5000 0.0000

Its space group is P4/mmm.

---

# 2
VASP calculation (GGA-PBEsol) on Mn3TcSb after structural relaxation.

a b c (Å): 4.7305 4.7305 4.7305
angles (deg): 90.00 90.00 90.00
Site moments in Bohr magnetons follow the coordinates.
Positions (direct):
Mn1 0.0000 0.0000 0.5000  3.42
Mn2 0.5000 0.0000 0.0000  3.42
Tc1 0.5000 0.5000 0.5000  2.81
Sb1 0.0000 0.0000 0.0000  -0.12
Mn3 0.0000 0.5000 0.0000  3.42

Its space group is Pm-3m.

---

# 3
VASP calculation (GGA-PBEsol) on MnTc2Sb after structural relaxation.

a b c (Å): 3.1431 4.3434 4.3434
angles (deg): 90.00 90.00 90.00
Site moments in Bohr magnetons follow the coordinates.
Positions (direct):
Tc1 0.0000 0.0000 0.5000  -0.25
Sb1 0.5000 0.0000 0.0000  0.02
Tc2 0.0000 0.5000 0.0000  -0.25
Mn1 0.5000 0.5000 0.5000  2.89

Its space group is P4/mmm.

---

# 4
VASP calculation (GGA-PBEsol) on Mn2SbTe after structural relaxation.

a b c (Å): 3.5251 4.1199 5.2327
angles (deg): 90.00 109.68 90.00
Site moments in Bohr magnetons follow the coordinates.
Positions (direct):
Mn1 0.6727 0.5000 0.3454  2.69
Sb1 0.1091 0.0000 0.2182  -0.13
Te1 0.3888 0.5000 0.7776  -0.09
Mn2 0.8249 0.0000 0.6498  2.58

Its space group is Amm2.

---

# 5
VASP calculation (GGA-PBEsol) on MnSbTe after structural relaxation.

a b c (Å): 3.6979 3.6979 5.7192
angles (deg): 90.00 90.00 120.00
Site moments in Bohr magnetons follow the coordinates.
Positions (direct):
Sb1 0.3333 0.6667 0.7325  -0.11
Te1 0.6667 0.3333 0.2659  -0.09
Mn1 0.0000 0.0000 0.0016  2.73

Its space group is P3m1.

---

# 6
VASP calculation (GGA-PBEsol) on Mn3SbTe after structural relaxation.

a b c (Å): 4.8801 4.8801 4.8801
angles (deg): 90.00 90.00 90.00
Site moments in Bohr magnetons follow the coordinates.
Positions (direct):
Sb1 0.5000 0.5000 0.5000  -0.01
Te1 0.0000 0.0000 0.0000  -0.07
Mn1 0.5000 0.0000 0.0000  3.55
Mn2 0.0000 0.0000 0.5000  3.55
Mn3 0.0000 0.5000 0.0000  3.55

Its space group is Pm-3m.

---

# 7
VASP calculation (GGA-PBEsol) on MnSb2Te after structural relaxation.

a b c (Å): 5.1085 5.1085 5.1085
angles (deg): 89.50 60.29 119.71
Site moments in Bohr magnetons follow the coordinates.
Positions (direct):
Te1 0.0000 0.5000 0.5000  -0.06
Mn1 0.5000 0.7500 0.7500  3.93
Sb1 0.5000 0.2500 0.2500  0.01
Sb2 0.0000 0.0000 0.0000  -0.07

Its space group is I-4m2.

---

# 8
VASP calculation (GGA-PBEsol) on MnSbTe3 after structural relaxation.

a b c (Å): 5.6222 5.6222 5.6222
angles (deg): 90.00 90.00 90.00
Site moments in Bohr magnetons follow the coordinates.
Positions (direct):
Te1 0.5000 0.0000 0.0000  -0.02
Te2 0.0000 0.5000 0.0000  -0.02
Te3 0.0000 0.0000 0.5000  -0.02
Sb1 0.0000 0.0000 0.0000  0.00
Mn1 0.5000 0.5000 0.5000  4.62

Its space group is Pm-3m.

---

# 9
VASP calculation (GGA-PBEsol) on MnSb2Te after structural relaxation.

a b c (Å): 3.4563 4.6986 6.5727
angles (deg): 110.94 105.24 90.00
Site moments in Bohr magnetons follow the coordinates.
Positions (direct):
Sb1 0.6830 0.6830 0.3660  -0.06
Sb2 0.3170 0.3170 0.6340  -0.06
Mn1 0.0000 0.5000 0.0000  3.20
Te1 0.5000 0.0000 0.0000  -0.04

Its space group is Immm.

---

# 10
VASP calculation (GGA-PBEsol) on Mn2SbTe after structural relaxation.

a b c (Å): 4.0497 4.0497 5.5635
angles (deg): 90.00 90.00 120.00
Site moments in Bohr magnetons follow the coordinates.
Positions (direct):
Sb1 0.3333 0.6667 0.5000  -0.11
Mn1 0.0000 0.0000 0.7462  3.22
Te1 0.6667 0.3333 0.0000  -0.03
Mn2 0.0000 0.0000 0.2538  3.22

Its space group is P-6m2.

---

# 11
VASP calculation (GGA-PBEsol) on MnSb2Te after structural relaxation.

a b c (Å): 3.5714 5.1864 5.1864
angles (deg): 99.28 90.00 90.00
Site moments in Bohr magnetons follow the coordinates.
Positions (direct):
Mn1 0.5000 0.5000 0.5000  3.96
Sb1 0.0000 0.5000 0.0000  -0.05
Te1 0.5000 0.0000 0.0000  0.01
Sb2 0.0000 0.0000 0.5000  -0.05

Its space group is Cmmm.

---

# 12
VASP calculation (GGA-PBEsol) on MnSbTe2W after structural relaxation.

a b c (Å): 4.8289 5.0069 5.0069
angles (deg): 90.00 90.00 90.00
Site moments in Bohr magnetons follow the coordinates.
Positions (direct):
W1 0.5000 0.5000 0.5000  2.57
Mn1 0.0000 0.0000 0.0000  2.41
Te1 0.0000 0.5000 0.0000  -0.09
Te2 0.0000 0.0000 0.5000  -0.09
Sb1 0.5000 0.0000 0.0000  -0.12

Its space group is P4/mmm.

---

| no. | energy (eV/cell) | magnetization (μB/atom) |
| --- | --- | --- |
| 1 | -29.209 | 0.00 |
| 2 | -35.490 | 2.69 |
| 3 | -36.369 | 0.63 |
| 4 | -27.126 | 1.30 |
| 5 | -17.834 | 0.84 |
| 6 | -31.874 | 2.23 |
| 7 | -20.653 | 0.98 |
| 8 | -20.424 | 1.02 |
| 9 | -21.528 | 0.79 |
| 10 | -27.465 | 1.64 |
| 11 | -20.682 | 1.01 |
| 12 | -28.572 | 1.11 |